[1]
This record from the Alexandria database describes a geometry-optimized La2CoAuC structure. The functional is GGA-PBE.

Structure (CIF):
```
data_La2CoAuC
_cell_length_a 5.367
_cell_length_b 5.367
_cell_length_c 3.669
_cell_angle_alpha 90.00
_cell_angle_beta 90.00
_cell_angle_gamma 90.00
_symmetry_space_group_name_H-M 'P 4/m m m'
_symmetry_Int_Tables_number 123
_symmetry_space_group_name_Hall '-P 4 2'
loop_
_atom_site_label
_atom_site_type_symbol
_atom_site_fract_x
_atom_site_fract_y
_atom_site_fract_z
La1 La 0.000 0.500 0.000
Co1 Co 0.000 0.000 0.500
Au1 Au 0.500 0.500 0.500
C1 C 0.000 0.000 0.000
```

[2]
This record from the Alexandria database describes a geometry-optimized La6CoAu2C structure. The functional is GGA-PBE.

Structure (CIF):
```
data_La6CoAu2C
_cell_length_a 7.020
_cell_length_b 7.647
_cell_length_c 12.530
_cell_angle_alpha 90.00
_cell_angle_beta 123.37
_cell_angle_gamma 90.00
_symmetry_space_group_name_H-M 'P 1 21/c 1'
_symmetry_Int_Tables_number 14
loop_
_symmetry_equiv_pos_as_xyz
'x,y,z'
'-x,-y,-z'
'-x,y+1/2,-z+1/2'
'x,-y+1/2,z+1/2'
loop_
_atom_site_label
_atom_site_type_symbol
_atom_site_fract_x
_atom_site_fract_y
_atom_site_fract_z
La1 La 0.130 0.026 0.241
La2 La 0.228 0.700 0.052
La3 La 0.361 0.185 0.057
Co1 Co 0.500 0.000 0.500
Au1 Au 0.291 0.090 0.748
C1 C 0.000 0.000 0.000
```

These records have formation enthalpy at 0 K values of -453, -375 meV per atom, in the order they appear.
These records have DFT total energy values of -31.72, -112.40 eV for the cell shown, in the order they appear.